CrTcAu2: relaxed, PBE.

a b c (Å): 5.6909 5.6909 11.2500
angles (deg): 90.00 90.00 90.00
With the nearest neighbours (Å) after each atom.
Fractional coordinates of all 16 atoms:
1 Cr 0.0000 0.0000 0.0000  4 Au 2.41
2 Cr 0.0000 0.5000 0.2500  4 Au 2.41
3 Cr 0.5000 0.0000 0.7500  4 Au 2.41
4 Cr 0.5000 0.5000 0.5000  4 Au 2.41
5 Tc 0.0000 0.0000 0.5000  4 Au 2.50
6 Tc 0.0000 0.5000 0.7500  4 Au 2.50
7 Tc 0.5000 0.0000 0.2500  4 Au 2.50
8 Tc 0.5000 0.5000 0.0000  4 Au 2.50
9 Au 0.2365 0.2500 0.1250  2 Cr 2.41, 2 Tc 2.50
10 Au 0.2500 0.7365 0.3750  2 Cr 2.41, 2 Tc 2.50
11 Au 0.2500 0.7635 0.8750  2 Cr 2.41, 2 Tc 2.50
12 Au 0.2635 0.2500 0.6250  2 Cr 2.41, 2 Tc 2.50
13 Au 0.7365 0.7500 0.6250  2 Cr 2.41, 2 Tc 2.50
14 Au 0.7500 0.2365 0.8750  2 Cr 2.41, 2 Tc 2.50
15 Au 0.7500 0.2635 0.3750  2 Cr 2.41, 2 Tc 2.50
16 Au 0.7635 0.7500 0.1250  2 Cr 2.41, 2 Tc 2.50

Values from the calculation:
calculated volume	364	Å³ per cell
energy of formation from the pure elements	1642	meV per atom
uncorrected energy	-4.99	eV per atom
SG	I-42d (122)
distance to the lowest polymorph of the same formula	1451	meV/atom

CrTcAu2: relaxed, PBE.

a b c (Å): 6.4097 6.4097 6.4097
angles (deg): 90.00 90.00 90.00
With the nearest neighbours (Å) after each atom.
Fractional coordinates of all 16 atoms:
1 Cr 0.0000 0.0000 0.0000  4 Tc 2.78, 4 Au 2.78
2 Cr 0.0000 0.5000 0.5000  4 Tc 2.78, 4 Au 2.78
3 Cr 0.5000 0.0000 0.5000  4 Tc 2.78, 4 Au 2.78
4 Cr 0.5000 0.5000 0.0000  4 Tc 2.78, 4 Au 2.78
5 Tc 0.2500 0.2500 0.7500  4 Au 2.78, 4 Cr 2.78
6 Tc 0.2500 0.7500 0.2500  4 Au 2.78, 4 Cr 2.78
7 Tc 0.7500 0.2500 0.2500  4 Au 2.78, 4 Cr 2.78
8 Tc 0.7500 0.7500 0.7500  4 Au 2.78, 4 Cr 2.78
9 Au 0.0000 0.0000 0.5000  4 Au 2.78, 4 Tc 2.78
10 Au 0.0000 0.5000 0.0000  4 Au 2.78, 4 Tc 2.78
11 Au 0.2500 0.2500 0.2500  4 Cr 2.78, 4 Au 2.78
12 Au 0.2500 0.7500 0.7500  4 Cr 2.78, 4 Au 2.78
13 Au 0.5000 0.0000 0.0000  4 Au 2.78, 4 Tc 2.78
14 Au 0.5000 0.5000 0.5000  4 Au 2.78, 4 Tc 2.78
15 Au 0.7500 0.2500 0.7500  4 Cr 2.78, 4 Au 2.78
16 Au 0.7500 0.7500 0.2500  4 Cr 2.78, 4 Au 2.78

Values from the calculation:
calculated volume	263	Å³ per cell
energy of formation from the pure elements	405	meV per atom
uncorrected energy	-6.23	eV per atom
SG	F-43m (216)
distance to the lowest polymorph of the same formula	213	meV/atom

Cr2TcAu: relaxed, PBE.

a b c (Å): 2.7247 2.7247 26.5535
angles (deg): 90.00 90.00 120.00
With the nearest neighbours (Å) after each atom.
Fractional coordinates of all 12 atoms:
1 Cr 0.0000 0.0000 0.2453  3 Tc 2.61, 6 Cr 2.72, 3 Au 2.82
2 Cr 0.0000 0.0000 0.7547  3 Tc 2.61, 6 Cr 2.72, 3 Au 2.82
3 Cr 0.3333 0.6667 0.4214  3 Tc 2.61, 6 Cr 2.72, 3 Au 2.82
4 Cr 0.3333 0.6667 0.9119  3 Tc 2.61, 6 Cr 2.72, 3 Au 2.82
5 Cr 0.6667 0.3333 0.0881  3 Tc 2.61, 6 Cr 2.72, 3 Au 2.82
6 Cr 0.6667 0.3333 0.5786  3 Tc 2.61, 6 Cr 2.72, 3 Au 2.82
7 Tc 0.0000 0.0000 0.5000  6 Cr 2.61, 6 Tc 2.72
8 Tc 0.3333 0.6667 0.1667  6 Cr 2.61, 6 Tc 2.72
9 Tc 0.6667 0.3333 0.8333  6 Cr 2.61, 6 Tc 2.72
10 Au 0.0000 0.0000 0.0000  6 Au 2.72, 6 Cr 2.82
11 Au 0.3333 0.6667 0.6667  6 Au 2.72, 6 Cr 2.82
12 Au 0.6667 0.3333 0.3333  6 Au 2.72, 6 Cr 2.82

Values from the calculation:
calculated volume	171	Å³ per cell
energy of formation from the pure elements	392	meV per atom
uncorrected energy	-7.83	eV per atom
SG	R-3m (166)

CrTc3Au: relaxed, PBE.

a b c (Å): 4.4136 4.4136 4.4136
angles (deg): 90.00 90.00 90.00
With the nearest neighbours (Å) after each atom.
Fractional coordinates of all 5 atoms:
1 Cr 0.0000 0.0000 0.0000  6 Tc 2.21
2 Tc 0.0000 0.0000 0.5000  2 Cr 2.21
3 Tc 0.0000 0.5000 0.0000  2 Cr 2.21
4 Tc 0.5000 0.0000 0.0000  2 Cr 2.21
5 Au 0.5000 0.5000 0.5000  12 Tc 3.12

Values from the calculation:
calculated volume	86	Å³ per cell
energy of formation from the pure elements	1197	meV per atom
uncorrected energy	-7.60	eV per atom
SG	Pm-3m (221)
distance to the lowest polymorph of the same formula	0	meV/atom